TaTi2SnPb | PBE | optimized geometry

Results
The value obtained for the final energy is -5.495 eV per atom. The value obtained for the total magnetic moment is 0.00 Bohr magnetons per cell. For the energy relative to the elements, the calculation gives 1.576 eV per atom. The mass density comes out at 7.4 g/cm3.

a b c (Å): 4.960 4.960 5.468
angles (deg): 90.00 90.00 90.00
Space group P4/mmm (No. 123)
One atom of each set of equivalent atoms:
Ta 0.000 0.000 0.000 x1
Ti 0.000 0.500 0.500 x2
Sn 0.500 0.500 0.500 x1
Pb 0.500 0.500 0.000 x1

=====

ReTcSb2 | PBE | optimized geometry

Results
The value obtained for the final energy is -7.400 eV per atom. The formation energy from raw total energies comes out at 0.365 eV/atom. Its polymorph energy (0 for the lowest one) is 224.5 meV per atom. The value obtained for the total magnetic moment is 0.00 Bohr magnetons per cell. The mass density comes out at 12.1 g/cm3.

a b c (Å): 3.188 4.885 4.667
angles (deg): 90.00 90.00 90.00
Space group Pmm2 (No. 25)
One atom of each set of equivalent atoms:
Re 0.000 0.000 0.000 x1
Tc 0.500 0.500 0.214 x1
Sb 0.000 0.500 0.732 x1
Sb 0.500 0.000 0.481 x1